Model one:
Material: Ho2Sb2O7
Method: DFT, PBE
State: optimized geometry

POSCAR file:
```
Ho2Sb2O7
1.0
-3.846 5.326 3.692
3.846 -5.326 3.692
3.846 5.326 -3.692
Ho Sb O
4 4 14
direct
0.000 0.000 0.000 Ho
0.500 0.000 0.000 Ho
0.500 0.000 0.500 Ho
0.500 0.500 0.500 Ho
0.000 0.000 0.500 Sb
0.000 0.500 0.000 Sb
0.000 0.500 0.500 Sb
0.500 0.500 0.000 Sb
0.021 0.271 0.750 O
0.075 0.192 0.364 O
0.075 0.710 0.883 O
0.328 0.192 0.617 O
0.328 0.710 0.136 O
0.368 0.749 0.619 O
0.370 0.251 0.119 O
0.630 0.749 0.881 O
0.632 0.251 0.381 O
0.672 0.290 0.864 O
0.672 0.808 0.383 O
0.925 0.290 0.117 O
0.925 0.808 0.636 O
0.979 0.729 0.250 O
```

Properties
- Space-group type: Imma, No. 74
- Density of states at the Fermi level: 0.00 states/eV/f.u.



Model two:
Material: Ho2Sb2O7
Method: DFT, PBE
State: optimized geometry

POSCAR file:
```
Ho2Sb2O7
1.0
7.523 0.000 0.000
-3.762 6.515 0.000
0.000 0.000 18.495
Ho Sb O
12 12 42
direct
0.000 0.826 0.167 Ho
0.000 0.833 0.667 Ho
0.167 0.167 0.000 Ho
0.174 0.174 0.500 Ho
0.181 0.682 0.511 Ho
0.318 0.499 0.844 Ho
0.499 0.318 0.156 Ho
0.501 0.819 0.178 Ho
0.682 0.181 0.489 Ho
0.819 0.501 0.822 Ho
0.826 0.000 0.833 Ho
0.833 0.000 0.333 Ho
0.000 0.300 0.167 Sb
0.000 0.323 0.667 Sb
0.166 0.667 0.001 Sb
0.300 0.000 0.833 Sb
0.323 0.000 0.333 Sb
0.333 0.499 0.334 Sb
0.499 0.333 0.666 Sb
0.501 0.834 0.667 Sb
0.667 0.166 0.999 Sb
0.677 0.677 0.000 Sb
0.700 0.700 0.500 Sb
0.834 0.501 0.333 Sb
0.006 0.808 0.028 O
0.007 0.334 0.790 O
0.017 0.853 0.784 O
0.053 0.438 0.307 O
0.107 0.658 0.893 O
0.147 0.163 0.118 O
0.163 0.147 0.882 O
0.192 0.198 0.361 O
0.198 0.192 0.639 O
0.203 0.685 0.638 O
0.230 0.694 0.106 O
0.306 0.536 0.439 O
0.315 0.517 0.972 O
0.326 0.993 0.456 O
0.334 0.007 0.210 O
0.342 0.448 0.227 O
0.385 0.947 0.973 O
0.438 0.053 0.693 O
0.448 0.342 0.773 O
0.464 0.770 0.773 O
0.483 0.797 0.305 O
0.517 0.315 0.028 O
0.536 0.306 0.561 O
0.552 0.893 0.560 O
0.562 0.615 0.640 O
0.615 0.562 0.360 O
0.658 0.107 0.107 O
0.666 0.674 0.123 O
0.674 0.666 0.877 O
0.685 0.203 0.362 O
0.694 0.230 0.894 O
0.770 0.464 0.227 O
0.797 0.483 0.695 O
0.802 0.994 0.694 O
0.808 0.006 0.972 O
0.837 0.983 0.451 O
0.853 0.017 0.216 O
0.893 0.552 0.440 O
0.947 0.385 0.027 O
0.983 0.837 0.549 O
0.993 0.326 0.544 O
0.994 0.802 0.306 O
```

Properties
- Space-group type: P3_121, No. 152
- Density of states at the Fermi level: 0.00 states/eV/f.u.



Which structure is the most stable? The one labeled model two.



Model one:
Material: Ho3SbO3
Method: DFT, PBE
State: optimized geometry

POSCAR file:
```
Ho3SbO3
1.0
3.311 1.912 7.337
-3.311 1.912 7.337
0.000 -3.823 7.337
Ho Sb O
6 2 6
direct
0.044 0.747 0.401 Ho
0.253 0.599 0.956 Ho
0.401 0.044 0.747 Ho
0.599 0.956 0.253 Ho
0.747 0.401 0.044 Ho
0.956 0.253 0.599 Ho
0.167 0.167 0.167 Sb
0.833 0.833 0.833 Sb
0.062 0.365 0.692 O
0.308 0.938 0.635 O
0.365 0.692 0.062 O
0.635 0.308 0.938 O
0.692 0.062 0.365 O
0.938 0.635 0.308 O
```

Properties
- Space-group type: R-3, No. 148
- Density of states at the Fermi level: 0.93 states/eV/f.u.



Model two:
Material: Ho3SbO3
Method: DFT, PBE
State: optimized geometry

POSCAR file:
```
Ho3SbO3
1.0
6.528 -1.926 0.000
6.528 1.926 0.000
-5.560 0.000 10.287
Ho Sb O
6 2 6
direct
0.121 0.121 0.442 Ho
0.128 0.128 0.901 Ho
0.343 0.343 0.793 Ho
0.657 0.657 0.207 Ho
0.872 0.872 0.099 Ho
0.879 0.879 0.558 Ho
0.382 0.382 0.320 Sb
0.618 0.618 0.680 Sb
0.063 0.063 0.192 O
0.311 0.311 0.591 O
0.337 0.337 0.986 O
0.663 0.663 0.014 O
0.689 0.689 0.409 O
0.937 0.937 0.808 O
```

Properties
- Space-group type: C2/m, No. 12
- Density of states at the Fermi level: 0.09 states/eV/f.u.



Which structure is the most stable? The one labeled model two.



Model one:
Material: HoScO
Method: DFT, PBE
State: optimized geometry

POSCAR file:
```
HoScO
1.0
5.912 0.000 0.000
0.000 5.912 0.000
0.000 0.000 5.912
Ho Sc O
4 4 4
direct
0.085 0.415 0.585 Ho
0.415 0.585 0.085 Ho
0.585 0.085 0.415 Ho
0.915 0.915 0.915 Ho
0.102 0.898 0.398 Sc
0.398 0.102 0.898 Sc
0.602 0.602 0.602 Sc
0.898 0.398 0.102 Sc
0.199 0.199 0.199 O
0.301 0.801 0.699 O
0.699 0.301 0.801 O
0.801 0.699 0.301 O
```

Properties
- Space-group type: P2_13, No. 198
- Density of states at the Fermi level: 2.35 states/eV/f.u.



Model two:
Material: HoScO
Method: DFT, PBE
State: optimized geometry

POSCAR file:
```
HoScO
1.0
3.979 0.000 0.000
0.000 3.979 0.000
0.000 0.000 7.451
Ho Sc O
2 2 2
direct
0.000 0.000 0.250 Ho
0.000 0.000 0.750 Ho
0.500 0.500 0.000 Sc
0.500 0.500 0.500 Sc
0.000 0.500 0.000 O
0.500 0.000 0.500 O
```

Properties
- Space-group type: P4_2/mmc, No. 131
- Density of states at the Fermi level: 2.97 states/eV/f.u.



Model three:
Material: HoScO
Method: DFT, PBE
State: optimized geometry

POSCAR file:
```
HoScO
1.0
3.369 0.000 0.000
-1.685 2.918 0.000
0.000 0.000 5.491
Ho Sc O
1 1 1
direct
0.000 0.000 0.000 Ho
0.667 0.333 0.472 Sc
0.333 0.667 0.261 O
```

Properties
- Space-group type: P3m1, No. 156
- Density of states at the Fermi level: 3.20 states/eV/f.u.



Which structure is the most stable? The one labeled model three.



Model one:
Material: Ho2Se3O12
Method: DFT, PBE
State: optimized geometry

POSCAR file:
```
Ho2Se3O12
1.0
13.392 0.000 0.000
0.000 9.668 0.000
0.000 0.000 9.751
Ho Se O
8 12 48
direct
0.118 0.249 0.037 Ho
0.118 0.751 0.537 Ho
0.382 0.251 0.537 Ho
0.382 0.749 0.037 Ho
0.618 0.251 0.963 Ho
0.618 0.749 0.463 Ho
0.882 0.249 0.463 Ho
0.882 0.751 0.963 Ho
0.000 0.466 0.750 Se
0.000 0.534 0.250 Se
0.147 0.106 0.387 Se
0.147 0.894 0.887 Se
0.353 0.394 0.887 Se
0.353 0.606 0.387 Se
0.500 0.034 0.250 Se
0.500 0.966 0.750 Se
0.647 0.394 0.613 Se
0.647 0.606 0.113 Se
0.853 0.106 0.113 Se
0.853 0.894 0.613 Se
0.033 0.165 0.423 O
0.033 0.835 0.923 O
0.065 0.366 0.856 O
0.065 0.634 0.356 O
0.081 0.436 0.164 O
0.081 0.564 0.664 O
0.150 0.065 0.905 O
0.150 0.935 0.405 O
0.177 0.144 0.226 O
0.177 0.856 0.726 O
0.226 0.178 0.496 O
0.226 0.822 0.996 O
0.274 0.322 0.996 O
0.274 0.678 0.496 O
0.323 0.356 0.726 O
0.323 0.644 0.226 O
0.350 0.435 0.405 O
0.350 0.565 0.905 O
0.419 0.064 0.664 O
0.419 0.936 0.164 O
0.435 0.134 0.356 O
0.435 0.866 0.856 O
0.467 0.335 0.923 O
0.467 0.665 0.423 O
0.533 0.335 0.577 O
0.533 0.665 0.077 O
0.565 0.134 0.144 O
0.565 0.866 0.644 O
0.581 0.064 0.836 O
0.581 0.936 0.336 O
0.650 0.435 0.095 O
0.650 0.565 0.595 O
0.677 0.356 0.774 O
0.677 0.644 0.274 O
0.726 0.322 0.504 O
0.726 0.678 0.004 O
0.774 0.178 0.004 O
0.774 0.822 0.504 O
0.823 0.144 0.274 O
0.823 0.856 0.774 O
0.850 0.065 0.595 O
0.850 0.935 0.095 O
0.919 0.436 0.336 O
0.919 0.564 0.836 O
0.935 0.366 0.644 O
0.935 0.634 0.144 O
0.967 0.165 0.077 O
0.967 0.835 0.577 O
```

Properties
- Space-group type: Pbcn, No. 60
- Density of states at the Fermi level: 0.00 states/eV/f.u.



Model two:
Material: Ho2Se3O12
Method: DFT, PBE
State: optimized geometry

POSCAR file:
```
Ho2Se3O12
1.0
3.551 -5.855 0.000
3.551 5.855 0.000
-3.539 0.000 10.678
Ho Se O
4 6 24
direct
0.052 0.301 0.093 Ho
0.301 0.052 0.593 Ho
0.699 0.948 0.407 Ho
0.948 0.699 0.907 Ho
0.136 0.864 0.250 Se
0.213 0.449 0.423 Se
0.449 0.213 0.923 Se
0.551 0.787 0.077 Se
0.787 0.551 0.577 Se
0.864 0.136 0.750 Se
0.003 0.581 0.210 O
0.050 0.938 0.122 O
0.062 0.950 0.378 O
0.071 0.687 0.605 O
0.260 0.654 0.043 O
0.262 0.369 0.288 O
0.313 0.377 0.543 O
0.313 0.929 0.895 O
0.346 0.740 0.457 O
0.369 0.262 0.788 O
0.377 0.313 0.043 O
0.419 0.997 0.290 O
0.581 0.003 0.710 O
0.623 0.687 0.957 O
0.631 0.738 0.212 O
0.654 0.260 0.543 O
0.687 0.071 0.105 O
0.687 0.623 0.457 O
0.738 0.631 0.712 O
0.740 0.346 0.957 O
0.929 0.313 0.395 O
0.938 0.050 0.622 O
0.950 0.062 0.878 O
0.997 0.419 0.790 O
```

Properties
- Space-group type: C2/c, No. 15
- Density of states at the Fermi level: 0.00 states/eV/f.u.



Which structure is the most stable? The one labeled model one.



Model one:
Material: Ho2Se3O9
Method: DFT, PBE
State: optimized geometry

POSCAR file:
```
Ho2Se3O9
1.0
8.739 0.000 0.000
-4.370 7.568 0.000
0.000 0.000 8.247
Ho Se O
4 6 18
direct
0.333 0.667 0.040 Ho
0.333 0.667 0.460 Ho
0.667 0.333 0.540 Ho
0.667 0.333 0.960 Ho
0.030 0.724 0.750 Se
0.276 0.305 0.750 Se
0.305 0.030 0.250 Se
0.695 0.970 0.750 Se
0.724 0.695 0.250 Se
0.970 0.276 0.250 Se
0.143 0.496 0.250 O
0.150 0.725 0.587 O
0.150 0.725 0.913 O
0.275 0.424 0.587 O
0.275 0.424 0.913 O
0.353 0.857 0.250 O
0.424 0.150 0.087 O
0.424 0.150 0.413 O
0.496 0.353 0.750 O
0.504 0.647 0.250 O
0.576 0.850 0.587 O
0.576 0.850 0.913 O
0.647 0.143 0.750 O
0.725 0.576 0.087 O
0.725 0.576 0.413 O
0.850 0.275 0.087 O
0.850 0.275 0.413 O
0.857 0.504 0.750 O
```

Properties
- Space-group type: P6_3/m, No. 176
- Density of states at the Fermi level: 0.00 states/eV/f.u.



Model two:
Material: Ho2Se3O9
Method: DFT, PBE
State: optimized geometry

POSCAR file:
```
Ho2Se3O9
1.0
8.557 0.000 0.000
0.000 13.833 0.000
0.000 0.000 6.689
Ho Se O
8 12 36
direct
0.224 0.065 0.184 Ho
0.224 0.435 0.184 Ho
0.276 0.565 0.684 Ho
0.276 0.935 0.684 Ho
0.724 0.065 0.316 Ho
0.724 0.435 0.316 Ho
0.776 0.565 0.816 Ho
0.776 0.935 0.816 Ho
0.018 0.750 0.900 Se
0.056 0.126 0.679 Se
0.056 0.374 0.679 Se
0.444 0.626 0.179 Se
0.444 0.874 0.179 Se
0.482 0.250 0.400 Se
0.518 0.750 0.600 Se
0.556 0.126 0.821 Se
0.556 0.374 0.821 Se
0.944 0.626 0.321 Se
0.944 0.874 0.321 Se
0.982 0.250 0.100 Se
0.035 0.649 0.749 O
0.035 0.851 0.749 O
0.098 0.045 0.871 O
0.098 0.455 0.871 O
0.106 0.566 0.402 O
0.106 0.934 0.402 O
0.184 0.250 0.090 O
0.216 0.097 0.529 O
0.216 0.403 0.529 O
0.284 0.597 0.029 O
0.284 0.903 0.029 O
0.316 0.750 0.590 O
0.394 0.066 0.902 O
0.394 0.434 0.902 O
0.402 0.545 0.371 O
0.402 0.955 0.371 O
0.465 0.149 0.249 O
0.465 0.351 0.249 O
0.535 0.649 0.751 O
0.535 0.851 0.751 O
0.598 0.045 0.629 O
0.598 0.455 0.629 O
0.606 0.566 0.098 O
0.606 0.934 0.098 O
0.684 0.250 0.410 O
0.716 0.097 0.971 O
0.716 0.403 0.971 O
0.784 0.597 0.471 O
0.784 0.903 0.471 O
0.816 0.750 0.910 O
0.894 0.066 0.598 O
0.894 0.434 0.598 O
0.902 0.545 0.129 O
0.902 0.955 0.129 O
0.965 0.149 0.251 O
0.965 0.351 0.251 O
```

Properties
- Space-group type: Pnma, No. 62
- Density of states at the Fermi level: 0.00 states/eV/f.u.



Which structure is the most stable? The one labeled model one.



Model one:
Material: SmHoO2
Method: DFT, PBE
State: optimized geometry

POSCAR file:
```
SmHoO2
1.0
3.590 0.000 0.000
-1.795 3.109 0.000
0.000 0.000 19.939
Sm Ho O
3 3 6
direct
0.000 0.000 0.000 Sm
0.333 0.667 0.667 Sm
0.667 0.333 0.333 Sm
0.000 0.000 0.500 Ho
0.333 0.667 0.167 Ho
0.667 0.333 0.833 Ho
0.000 0.000 0.114 O
0.000 0.000 0.886 O
0.333 0.667 0.552 O
0.333 0.667 0.781 O
0.667 0.333 0.219 O
0.667 0.333 0.448 O
```

Properties
- Space-group type: R-3m, No. 166
- Density of states at the Fermi level: 0.74 states/eV/f.u.



Model two:
Material: SmHoO2
Method: DFT, PBE
State: optimized geometry

POSCAR file:
```
SmHoO2
1.0
3.422 0.000 0.000
-1.711 2.964 0.000
0.000 0.000 17.836
Sm Ho O
3 3 6
direct
0.000 0.000 0.000 Sm
0.333 0.667 0.667 Sm
0.667 0.333 0.333 Sm
0.000 0.000 0.178 Ho
0.333 0.667 0.844 Ho
0.667 0.333 0.511 Ho
0.000 0.000 0.576 O
0.000 0.000 0.767 O
0.333 0.667 0.243 O
0.333 0.667 0.433 O
0.667 0.333 0.100 O
0.667 0.333 0.910 O
```

Properties
- Space-group type: R3m, No. 160
- Density of states at the Fermi level: 0.52 states/eV/f.u.



Which structure is the most stable? The one labeled model one.